1.
5
Lattice="4.082 0.000 0.000 0.000 4.902 0.000 0.000 0.000 4.082" Properties=species:S:1:pos:R:3 comment="B2PRhBr, relaxed, DFT PBE-GGA" raw_formation_energy_ev_per_atom=0.787 total_energy_ev_per_atom=-4.771 dos_ef_per_ev_atom=0.439 magmom_total_mub_per_atom=0.000 pbc="T T T"
B 2.041 0.000 0.000
Rh 0.000 0.000 0.000
B 0.000 0.000 2.041
Br 2.041 2.451 2.041
P 0.000 2.451 0.000

2.
5
Lattice="-3.193 2.572 -1.590 -2.984 -2.307 2.261 0.453 2.525 3.176" Properties=species:S:1:pos:R:3 comment="BP2SBr, relaxed, DFT PBE-GGA" raw_formation_energy_ev_per_atom=0.984 total_energy_ev_per_atom=-3.676 dos_ef_per_ev_atom=0.404 magmom_total_mub_per_atom=0.000 pbc="T T T"
P -1.597 1.286 -0.795
B 0.000 0.000 0.000
Br -2.862 1.395 1.923
P -1.492 -1.154 1.130
S 0.227 1.262 1.588

3.
5
Lattice="4.924 0.000 0.000 0.000 4.924 0.000 0.000 0.000 4.829" Properties=species:S:1:pos:R:3 comment="BP2SBr, relaxed, DFT PBE-GGA" raw_formation_energy_ev_per_atom=2.248 total_energy_ev_per_atom=-2.412 dos_ef_per_ev_atom=0.772 magmom_total_mub_per_atom=0.183 pbc="T T T"
Br 0.000 0.000 0.000
S 0.000 0.000 2.414
P 2.462 0.000 0.000
B 2.462 2.462 2.414
P 0.000 2.462 0.000

4.
5
Lattice="4.459 0.000 0.000 0.000 4.459 0.000 0.000 0.000 4.886" Properties=species:S:1:pos:R:3 comment="BPSeBr2, relaxed, DFT PBE-GGA" raw_formation_energy_ev_per_atom=0.981 total_energy_ev_per_atom=-2.803 dos_ef_per_ev_atom=0.403 magmom_total_mub_per_atom=0.000 pbc="T T T"
Se 0.000 0.000 2.443
Br 0.000 2.229 0.000
P 2.229 2.229 2.443
B 0.000 0.000 0.000
Br 2.229 0.000 0.000

5.
5
Lattice="5.114 0.000 0.000 0.000 5.114 0.000 0.000 0.000 4.873" Properties=species:S:1:pos:R:3 comment="BPSeBr2, relaxed, DFT PBE-GGA" raw_formation_energy_ev_per_atom=1.072 total_energy_ev_per_atom=-2.711 dos_ef_per_ev_atom=0.396 magmom_total_mub_per_atom=0.000 pbc="T T T"
Br 2.557 0.000 0.000
P 0.000 0.000 0.000
Se 0.000 0.000 2.437
B 2.557 2.557 2.437
Br 0.000 2.557 0.000

6.
8
Lattice="-1.585 -3.704 -0.112 2.079 -1.089 6.608 -7.004 2.989 0.242" Properties=species:S:1:pos:R:3 comment="Sm4BPBr2, relaxed, DFT PBE-GGA" raw_formation_energy_ev_per_atom=-1.154 total_energy_ev_per_atom=-5.443 dos_ef_per_ev_atom=0.394 magmom_total_mub_per_atom=0.000 pbc="T T T"
Sm -1.697 -1.509 1.398
B 0.000 0.000 0.000
P 0.247 -2.396 3.248
Sm -5.102 2.127 1.852
Sm -4.812 -0.295 5.340
Sm 0.177 -0.226 4.998
Br -4.295 -0.357 0.065
Br -2.462 0.950 3.425

7.
5
Lattice="4.894 0.000 0.000 0.000 4.657 0.000 0.000 0.000 4.894" Properties=species:S:1:pos:R:3 comment="TcBP2Br, relaxed, DFT PBE-GGA" raw_formation_energy_ev_per_atom=2.559 total_energy_ev_per_atom=-3.349 dos_ef_per_ev_atom=0.868 magmom_total_mub_per_atom=0.381 pbc="T T T"
B 2.447 2.328 2.447
P 2.447 0.000 0.000
Tc 0.000 2.328 0.000
Br 0.000 0.000 0.000
P 0.000 0.000 2.447

8.
5
Lattice="-3.284 -1.421 -2.214 -2.116 -1.333 3.995 -1.831 3.777 0.291" Properties=species:S:1:pos:R:3 comment="TcB2PBr, relaxed, DFT PBE-GGA" raw_formation_energy_ev_per_atom=0.922 total_energy_ev_per_atom=-5.239 dos_ef_per_ev_atom=0.319 magmom_total_mub_per_atom=0.000 pbc="T T T"
B -0.915 1.889 0.145
Tc 0.000 0.000 0.000
Br -3.615 0.511 1.036
B -1.642 -0.711 -1.107
P -1.058 -0.667 1.998

9.
5
Lattice="5.643 0.000 0.000 0.000 4.921 0.000 0.000 0.000 5.643" Properties=species:S:1:pos:R:3 comment="BTe2PBr, relaxed, DFT PBE-GGA" raw_formation_energy_ev_per_atom=1.923 total_energy_ev_per_atom=-2.086 dos_ef_per_ev_atom=1.073 magmom_total_mub_per_atom=0.219 pbc="T T T"
P 0.000 2.461 0.000
Te 0.000 0.000 2.822
Te 2.822 0.000 0.000
B 2.822 2.461 2.822
Br 0.000 0.000 0.000

10.
5
Lattice="5.315 0.000 0.000 0.000 4.860 0.000 0.000 0.000 5.315" Properties=species:S:1:pos:R:3 comment="Y2BPBr, relaxed, DFT PBE-GGA" raw_formation_energy_ev_per_atom=0.546 total_energy_ev_per_atom=-4.792 dos_ef_per_ev_atom=0.975 magmom_total_mub_per_atom=0.123 pbc="T T T"
Y 2.658 0.000 0.000
P 0.000 0.000 0.000
Br 0.000 2.430 0.000
B 2.658 2.430 2.658
Y 0.000 0.000 2.658

11.
6
Lattice="-3.003 -1.279 0.313 1.449 -3.173 0.938 0.519 1.613 11.598" Properties=species:S:1:pos:R:3 comment="PaBBr, relaxed, DFT PBE-GGA" raw_formation_energy_ev_per_atom=-0.788 total_energy_ev_per_atom=-6.737 dos_ef_per_ev_atom=0.804 magmom_total_mub_per_atom=0.108 pbc="T T T"
Br -1.323 -3.694 4.115
B -1.396 -2.529 8.168
Pa -2.086 -1.483 5.819
Pa -0.640 0.026 8.690
Br 0.045 -0.937 11.332
B 0.119 -2.100 7.279

12.
4
Lattice="-3.247 1.418 0.244 -2.036 -0.701 2.824 1.247 6.485 4.743" Properties=species:S:1:pos:R:3 comment="Pa2BBr, relaxed, DFT PBE-GGA" raw_formation_energy_ev_per_atom=-0.483 total_energy_ev_per_atom=-7.319 dos_ef_per_ev_atom=1.295 magmom_total_mub_per_atom=0.000 pbc="T T T"
Br -2.018 3.601 3.905
B 0.000 0.000 0.000
Pa -2.836 5.796 6.093
Pa -1.199 1.406 1.718

13.
6
Lattice="3.348 -0.016 -0.461 -1.696 2.924 -0.029 0.055 0.110 12.484" Properties=species:S:1:pos:R:3 comment="PaBBr, relaxed, DFT PBE-GGA" raw_formation_energy_ev_per_atom=-0.860 total_energy_ev_per_atom=-6.809 dos_ef_per_ev_atom=1.081 magmom_total_mub_per_atom=0.000 pbc="T T T"
B 0.859 0.536 6.071
Pa 2.266 1.330 3.874
Br 1.426 0.906 10.174
Br 0.281 2.112 1.820
B 0.848 2.482 5.923
Pa -0.559 1.687 8.120

14.
4
Lattice="0.000 3.692 3.692 3.692 0.000 3.692 3.692 3.692 0.000" Properties=species:S:1:pos:R:3 comment="BPbBr2, relaxed, DFT PBE-GGA" raw_formation_energy_ev_per_atom=0.691 total_energy_ev_per_atom=-2.742 dos_ef_per_ev_atom=0.539 magmom_total_mub_per_atom=0.000 pbc="T T T"
Br 5.538 5.538 5.538
Pb 3.692 3.692 3.692
Br 1.846 1.846 1.846
B 0.000 0.000 0.000

15.
4
Lattice="2.035 0.000 10.617 -1.017 1.762 10.617 -1.017 -1.762 10.617" Properties=species:S:1:pos:R:3 comment="BPbBr2, relaxed, DFT PBE-GGA" raw_formation_energy_ev_per_atom=0.523 total_energy_ev_per_atom=-2.910 dos_ef_per_ev_atom=0.433 magmom_total_mub_per_atom=0.000 pbc="T T T"
Br 0.000 0.000 30.022
B 0.000 0.000 0.000
Pb 0.000 0.000 15.925
Br 0.000 0.000 1.828

16.
8
Lattice="-6.331 2.897 1.019 -2.459 -6.181 2.292 -3.093 -0.435 6.309" Properties=species:S:1:pos:R:3 comment="BPbBr2, relaxed, DFT PBE-GGA" raw_formation_energy_ev_per_atom=0.686 total_energy_ev_per_atom=-2.747 dos_ef_per_ev_atom=0.805 magmom_total_mub_per_atom=0.000 pbc="T T T"
Br -3.464 0.209 2.248
B -4.974 -4.129 5.128
Pb -6.909 0.410 4.492
Pb 0.000 0.000 0.000
Br -6.227 -3.094 6.543
B -4.395 -1.642 1.655
Br -4.675 -2.890 3.390
Br -9.400 -1.664 7.060

17.
5
Lattice="4.161 0.000 0.000 0.000 6.063 0.000 0.000 0.000 4.161" Properties=species:S:1:pos:R:3 comment="BPt2PbBr, relaxed, DFT PBE-GGA" raw_formation_energy_ev_per_atom=0.048 total_energy_ev_per_atom=-4.781 dos_ef_per_ev_atom=0.179 magmom_total_mub_per_atom=0.000 pbc="T T T"
B 0.000 0.000 0.000
Pb 0.000 3.032 0.000
Br 2.081 3.032 2.081
Pt 0.000 0.000 2.081
Pt 2.081 0.000 0.000

18.
10
Lattice="7.870 0.000 0.000 0.000 7.870 0.000 3.935 3.935 5.288" Properties=species:S:1:pos:R:3 comment="Rb2BPbBr6, relaxed, DFT PBE-GGA" raw_formation_energy_ev_per_atom=-0.738 total_energy_ev_per_atom=-2.974 dos_ef_per_ev_atom=0.315 magmom_total_mub_per_atom=0.000 pbc="T T T"
Br 7.870 7.870 2.986
Br 3.935 3.935 2.301
Br 5.758 5.758 0.000
Br 2.112 2.112 0.000
Br 2.112 5.758 0.000
Rb 3.935 7.870 2.644
Pb 0.000 0.000 0.000
Rb 7.870 3.935 2.644
B 3.935 3.935 0.000
Br 5.758 2.112 0.000

19.
10
Lattice="-1.281 5.442 -3.371 -6.627 -0.732 1.336 2.133 3.727 5.206" Properties=species:S:1:pos:R:3 comment="BPbS2Br, relaxed, DFT PBE-GGA" raw_formation_energy_ev_per_atom=-0.457 total_energy_ev_per_atom=-4.519 dos_ef_per_ev_atom=0.000 magmom_total_mub_per_atom=0.000 pbc="T T T"
Pb -5.033 1.936 1.877
Pb -0.743 6.500 1.294
B -0.821 4.579 -1.779
S 0.323 3.731 2.739
B -4.955 3.858 4.950
S -4.967 6.720 3.253
S -0.808 1.717 -0.082
S -6.098 4.706 0.432
Br -3.120 3.803 4.164
Br -2.655 4.634 -0.993

20.
5
Lattice="-2.166 -3.547 1.901 3.108 -0.103 3.349 -2.938 3.310 2.829" Properties=species:S:1:pos:R:3 comment="BPbSe2Br, relaxed, DFT PBE-GGA" raw_formation_energy_ev_per_atom=0.276 total_energy_ev_per_atom=-3.529 dos_ef_per_ev_atom=0.294 magmom_total_mub_per_atom=0.000 pbc="T T T"
Se -1.083 -1.774 0.950
B 0.000 0.000 0.000
Pb -0.997 -0.170 4.039
Br -1.469 1.655 1.415
Se 1.554 -0.052 1.674